The following is a DFT calculation (PBE-GGA) of an optimized crystal structure of ScSiGePt.

Total magnetization in μB/cell: 0.00
Energy relative to the lowest polymorph listed for this composition in meV per atom: 35
Crystal system: monoclinic

Cell: 5.5248 5.5248 6.4895 Å, 94.17 94.17 43.45°
With the nearest neighbours (Å) after each atom.
Atoms (fractional coordinates):
1 Si 0.6196 0.6196 0.4598  3 Pt 2.48-2.59, 1 Si 2.55, 1 Ge 2.76
2 Si 0.3804 0.3804 0.5402  3 Pt 2.48-2.59, 1 Si 2.55, 1 Ge 2.76
3 Sc 0.9063 0.9063 0.2555  2 Si 2.78, 3 Ge 2.79-3.08, 3 Pt 2.80-3.11
4 Sc 0.0937 0.0937 0.7445  2 Si 2.78, 3 Ge 2.79-3.08, 3 Pt 2.80-3.11
5 Ge 0.3711 0.3711 0.9641  2 Pt 2.59, 1 Ge 2.65, 1 Si 2.76, 2 Sc 2.79
6 Ge 0.6289 0.6289 0.0359  2 Pt 2.59, 1 Ge 2.65, 1 Si 2.76, 2 Sc 2.79
7 Pt 0.1796 0.1796 0.2732  3 Si 2.48-2.59, 2 Ge 2.59
8 Pt 0.8204 0.8204 0.7268  3 Si 2.48-2.59, 2 Ge 2.59